Record 1
# ZrV2Rh | Alexandria | GGA-PBE | relaxed
data_ZrV2Rh
_chemical_formula_sum 'Zr2 V4 Rh2'
_cell_length_a 7.1817
_cell_length_b 7.1817
_cell_length_c 5.7251
_cell_angle_alpha 51.16
_cell_angle_beta 51.16
_cell_angle_gamma 90.00
_space_group_name_H-M_alt 'P 1'
_space_group_IT_number 1
loop_
_space_group_symop_operation_xyz
'x,y,z'
loop_
_atom_site_label
_atom_site_type_symbol
_atom_site_fract_x
_atom_site_fract_y
_atom_site_fract_z
_atom_site_occupancy
Rh1 Rh 0.0000 0.0000 0.0000 1
Rh2 Rh 0.7500 0.2500 0.5000 1
Zr1 Zr 0.5000 0.5000 0.0000 1
Zr2 Zr 0.2500 0.7500 0.5000 1
V1 V 0.6592 0.1250 0.2500 1
V2 V 0.0908 0.6250 0.2500 1
V3 V 0.3750 0.3408 0.7500 1
V4 V 0.8750 0.9092 0.7500 1
# Space group ... I-42d, No. 122
# Calculated formation energy ... 0.214 eV per atom
# Total DFT energy (no corrections) ... -8.320 eV/atom
# Energy above the lowest structure with this stoichiometry ... 31.02 kJ/mol of atoms

=====

Record 2
# Zr2VRh | Alexandria | GGA-PBE | relaxed
data_Zr2VRh
_chemical_formula_sum 'Zr2 V1 Rh1'
_cell_length_a 2.9331
_cell_length_b 2.9331
_cell_length_c 10.1732
_cell_angle_alpha 81.71
_cell_angle_beta 81.71
_cell_angle_gamma 60.00
_space_group_name_H-M_alt 'P 1'
_space_group_IT_number 1
loop_
_space_group_symop_operation_xyz
'x,y,z'
loop_
_atom_site_label
_atom_site_type_symbol
_atom_site_fract_x
_atom_site_fract_y
_atom_site_fract_z
_atom_site_occupancy
Rh1 Rh 0.5000 0.5000 0.5000 1
Zr1 Zr 0.0901 0.0901 0.7298 1
Zr2 Zr 0.9099 0.9099 0.2702 1
V1 V 0.0000 0.0000 0.0000 1
# Space group ... R-3m, No. 166
# Calculated formation energy ... 0.241 eV per atom
# Total DFT energy (no corrections) ... -8.151 eV/atom
# Energy above the lowest structure with this stoichiometry ... 56.86 kJ/mol of atoms

=====

Record 3
# Zr6VRh5 | Alexandria | GGA-PBE | relaxed
data_Zr6VRh5
_chemical_formula_sum 'Zr6 V1 Rh5'
_cell_length_a 4.6397
_cell_length_b 6.6688
_cell_length_c 8.0414
_cell_angle_alpha 114.50
_cell_angle_beta 106.77
_cell_angle_gamma 90.00
_space_group_name_H-M_alt 'P 1'
_space_group_IT_number 1
loop_
_space_group_symop_operation_xyz
'x,y,z'
loop_
_atom_site_label
_atom_site_type_symbol
_atom_site_fract_x
_atom_site_fract_y
_atom_site_fract_z
_atom_site_occupancy
Rh1 Rh 0.3344 0.8344 0.6688 1
Rh2 Rh 0.6691 0.6691 0.3383 1
Rh3 Rh 0.0000 0.5000 0.0000 1
Rh4 Rh 0.3309 0.3309 0.6617 1
Rh5 Rh 0.6656 0.1656 0.3312 1
Zr1 Zr 0.1654 0.4137 0.3308 1
Zr2 Zr 0.1654 0.9171 0.3308 1
Zr3 Zr 0.5000 0.2475 0.0000 1
Zr4 Zr 0.5000 0.7525 0.0000 1
Zr5 Zr 0.8346 0.0829 0.6692 1
Zr6 Zr 0.8346 0.5863 0.6692 1
V1 V 0.0000 0.0000 0.0000 1
# Space group ... Immm, No. 71
# Calculated formation energy ... -0.632 eV per atom
# Total DFT energy (no corrections) ... -8.729 eV/atom

=====

Record 4
# ZrV2Rh2 | Alexandria | GGA-PBE | relaxed
data_ZrV2Rh2
_chemical_formula_sum 'Zr2 V4 Rh4'
_cell_length_a 7.4675
_cell_length_b 7.4675
_cell_length_c 2.8075
_cell_angle_alpha 90.00
_cell_angle_beta 90.00
_cell_angle_gamma 90.00
_space_group_name_H-M_alt 'P 1'
_space_group_IT_number 1
loop_
_space_group_symop_operation_xyz
'x,y,z'
loop_
_atom_site_label
_atom_site_type_symbol
_atom_site_fract_x
_atom_site_fract_y
_atom_site_fract_z
_atom_site_occupancy
Rh1 Rh 0.3671 0.8671 0.0000 1
Rh2 Rh 0.8671 0.6329 0.0000 1
Rh3 Rh 0.6329 0.1329 0.0000 1
Rh4 Rh 0.1329 0.3671 0.0000 1
Zr1 Zr 0.0000 0.0000 0.0000 1
Zr2 Zr 0.5000 0.5000 0.0000 1
V1 V 0.1616 0.6616 0.5000 1
V2 V 0.6616 0.8384 0.5000 1
V3 V 0.8384 0.3384 0.5000 1
V4 V 0.3384 0.1616 0.5000 1
# Space group ... P4/mbm, No. 127
# Calculated formation energy ... -0.272 eV per atom
# Total DFT energy (no corrections) ... -8.570 eV/atom
# Energy above the lowest structure with this stoichiometry ... 3.69 kJ/mol of atoms

=====

Record 5
# Zr3VRh | Alexandria | GGA-PBE | relaxed
data_Zr3VRh
_chemical_formula_sum 'Zr3 V1 Rh1'
_cell_length_a 5.0092
_cell_length_b 5.0092
_cell_length_c 5.0092
_cell_angle_alpha 90.00
_cell_angle_beta 90.00
_cell_angle_gamma 90.00
_space_group_name_H-M_alt 'P 1'
_space_group_IT_number 1
loop_
_space_group_symop_operation_xyz
'x,y,z'
loop_
_atom_site_label
_atom_site_type_symbol
_atom_site_fract_x
_atom_site_fract_y
_atom_site_fract_z
_atom_site_occupancy
Rh1 Rh 0.0000 0.0000 0.0000 1
Zr1 Zr 0.0000 0.5000 0.0000 1
Zr2 Zr 0.0000 0.0000 0.5000 1
Zr3 Zr 0.5000 0.0000 0.0000 1
V1 V 0.5000 0.5000 0.5000 1
# Space group ... Pm-3m, No. 221
# Calculated formation energy ... 0.553 eV per atom
# Total DFT energy (no corrections) ... -7.870 eV/atom
# Energy above the lowest structure with this stoichiometry ... 0.00 kJ/mol of atoms

=====

Record 6
# RhW | Alexandria | GGA-PBE | relaxed
data_RhW
_chemical_formula_sum 'Rh3 W3'
_cell_length_a 6.5807
_cell_length_b 2.7639
_cell_length_c 5.3241
_cell_angle_alpha 74.96
_cell_angle_beta 75.95
_cell_angle_gamma 90.00
_space_group_name_H-M_alt 'P 1'
_space_group_IT_number 1
loop_
_space_group_symop_operation_xyz
'x,y,z'
loop_
_atom_site_label
_atom_site_type_symbol
_atom_site_fract_x
_atom_site_fract_y
_atom_site_fract_z
_atom_site_occupancy
Rh1 Rh 0.9969 0.9933 0.0134 1
Rh2 Rh 0.7248 0.6125 0.7751 1
Rh3 Rh 0.3363 0.6707 0.6587 1
W1 W 0.6689 0.3341 0.3317 1
W2 W 0.3837 0.9538 0.0924 1
W3 W 0.0560 0.2690 0.4620 1
# Space group ... Cm, No. 8
# Calculated formation energy ... -0.110 eV per atom
# Total DFT energy (no corrections) ... -10.263 eV/atom

=====

Record 7
# RhW | Alexandria | GGA-PBE | relaxed
data_RhW
_chemical_formula_sum 'Rh1 W1'
_cell_length_a 3.9815
_cell_length_b 3.9815
_cell_length_c 3.9815
_cell_angle_alpha 60.00
_cell_angle_beta 60.00
_cell_angle_gamma 60.00
_space_group_name_H-M_alt 'P 1'
_space_group_IT_number 1
loop_
_space_group_symop_operation_xyz
'x,y,z'
loop_
_atom_site_label
_atom_site_type_symbol
_atom_site_fract_x
_atom_site_fract_y
_atom_site_fract_z
_atom_site_occupancy
Rh1 Rh 0.0000 0.0000 0.0000 1
W1 W 0.7500 0.7500 0.7500 1
# Space group ... F-43m, No. 216
# Calculated formation energy ... 1.330 eV per atom
# Total DFT energy (no corrections) ... -8.823 eV/atom

=====

Record 8
# RhW3 | Alexandria | GGA-PBE | relaxed
data_RhW3
_chemical_formula_sum 'Rh1 W3'
_cell_length_a 3.2162
_cell_length_b 3.2162
_cell_length_c 6.1158
_cell_angle_alpha 90.00
_cell_angle_beta 90.00
_cell_angle_gamma 90.00
_space_group_name_H-M_alt 'P 1'
_space_group_IT_number 1
loop_
_space_group_symop_operation_xyz
'x,y,z'
loop_
_atom_site_label
_atom_site_type_symbol
_atom_site_fract_x
_atom_site_fract_y
_atom_site_fract_z
_atom_site_occupancy
Rh1 Rh 0.0000 0.0000 0.0000 1
W1 W 0.0000 0.0000 0.5000 1
W2 W 0.5000 0.5000 0.2552 1
W3 W 0.5000 0.5000 0.7448 1
# Space group ... P4/mmm, No. 123
# Calculated formation energy ... 0.166 eV per atom
# Total DFT energy (no corrections) ... -11.387 eV/atom

=====

Record 9
# Rh4W | Alexandria | GGA-PBE | relaxed
data_Rh4W
_chemical_formula_sum 'Rh4 W1'
_cell_length_a 4.9341
_cell_length_b 4.9341
_cell_length_c 4.9341
_cell_angle_alpha 109.47
_cell_angle_beta 109.47
_cell_angle_gamma 109.47
_space_group_name_H-M_alt 'P 1'
_space_group_IT_number 1
loop_
_space_group_symop_operation_xyz
'x,y,z'
loop_
_atom_site_label
_atom_site_type_symbol
_atom_site_fract_x
_atom_site_fract_y
_atom_site_fract_z
_atom_site_occupancy
Rh1 Rh 0.0000 0.5000 0.0000 1
Rh2 Rh 0.0000 0.0000 0.5000 1
Rh3 Rh 0.5000 0.5000 0.5000 1
Rh4 Rh 0.5000 0.0000 0.0000 1
W1 W 0.0000 0.0000 0.0000 1
# Space group ... Im-3m, No. 229
# Calculated formation energy ... 0.802 eV per atom
# Total DFT energy (no corrections) ... -7.670 eV/atom

=====

Record 10
# RhW2 | Alexandria | GGA-PBE | relaxed
data_RhW2
_chemical_formula_sum 'Rh3 W6'
_cell_length_a 7.7291
_cell_length_b 7.7291
_cell_length_c 2.7046
_cell_angle_alpha 90.00
_cell_angle_beta 90.00
_cell_angle_gamma 120.00
_space_group_name_H-M_alt 'P 1'
_space_group_IT_number 1
loop_
_space_group_symop_operation_xyz
'x,y,z'
loop_
_atom_site_label
_atom_site_type_symbol
_atom_site_fract_x
_atom_site_fract_y
_atom_site_fract_z
_atom_site_occupancy
Rh1 Rh 0.0000 0.0000 0.5000 1
Rh2 Rh 0.3333 0.6667 0.0000 1
Rh3 Rh 0.6667 0.3333 0.0000 1
W1 W 0.0000 0.3065 0.0000 1
W2 W 0.0000 0.6394 0.5000 1
W3 W 0.3065 0.0000 0.0000 1
W4 W 0.6935 0.6935 0.0000 1
W5 W 0.6394 0.0000 0.5000 1
W6 W 0.3606 0.3606 0.5000 1
# Space group ... P-62m, No. 189
# Calculated formation energy ... 0.113 eV per atom
# Total DFT energy (no corrections) ... -10.973 eV/atom
# Energy above the lowest structure with this stoichiometry ... 14.80 kJ/mol of atoms

=====

Record 11
# RhW | Alexandria | GGA-PBE | relaxed
data_RhW
_chemical_formula_sum 'Rh2 W2'
_cell_length_a 5.2608
_cell_length_b 5.2608
_cell_length_c 4.8818
_cell_angle_alpha 63.14
_cell_angle_beta 63.14
_cell_angle_gamma 30.39
_space_group_name_H-M_alt 'P 1'
_space_group_IT_number 1
loop_
_space_group_symop_operation_xyz
'x,y,z'
loop_
_atom_site_label
_atom_site_type_symbol
_atom_site_fract_x
_atom_site_fract_y
_atom_site_fract_z
_atom_site_occupancy
Rh1 Rh 0.3788 0.3788 0.7953 1
Rh2 Rh 0.6212 0.6212 0.2047 1
W1 W 0.8753 0.8753 0.2847 1
W2 W 0.1247 0.1247 0.7153 1
# Space group ... C2/m, No. 12
# Calculated formation energy ... -0.096 eV per atom
# Total DFT energy (no corrections) ... -10.248 eV/atom

=====

Record 12
# Rh4W | Alexandria | GGA-PBE | relaxed
data_Rh4W
_chemical_formula_sum 'Rh4 W1'
_cell_length_a 4.6474
_cell_length_b 4.6474
_cell_length_c 4.6474
_cell_angle_alpha 90.00
_cell_angle_beta 90.00
_cell_angle_gamma 90.00
_space_group_name_H-M_alt 'P 1'
_space_group_IT_number 1
loop_
_space_group_symop_operation_xyz
'x,y,z'
loop_
_atom_site_label
_atom_site_type_symbol
_atom_site_fract_x
_atom_site_fract_y
_atom_site_fract_z
_atom_site_occupancy
Rh1 Rh 0.0000 0.0000 0.0000 1
Rh2 Rh 0.5000 0.0000 0.5000 1
Rh3 Rh 0.0000 0.5000 0.5000 1
Rh4 Rh 0.5000 0.5000 0.0000 1
W1 W 0.5000 0.5000 0.5000 1
# Space group ... Pm-3m, No. 221
# Calculated formation energy ... 1.384 eV per atom
# Total DFT energy (no corrections) ... -7.088 eV/atom

=====

Record 13
# RhW8 | Alexandria | GGA-PBE | relaxed
data_RhW8
_chemical_formula_sum 'Rh1 W8'
_cell_length_a 6.8967
_cell_length_b 6.8967
_cell_length_c 6.8967
_cell_angle_alpha 93.11
_cell_angle_beta 93.11
_cell_angle_gamma 153.08
_space_group_name_H-M_alt 'P 1'
_space_group_IT_number 1
loop_
_space_group_symop_operation_xyz
'x,y,z'
loop_
_atom_site_label
_atom_site_type_symbol
_atom_site_fract_x
_atom_site_fract_y
_atom_site_fract_z
_atom_site_occupancy
Rh1 Rh 0.0000 0.0000 0.0000 1
W1 W 0.0000 0.6687 0.6687 1
W2 W 0.0000 0.3313 0.3313 1
W3 W 0.6687 0.0000 0.6687 1
W4 W 0.6686 0.6686 0.3373 1
W5 W 0.6686 0.3314 0.0000 1
W6 W 0.3313 0.0000 0.3313 1
W7 W 0.3314 0.6686 0.0000 1
W8 W 0.3314 0.3314 0.6627 1
# Space group ... I4/mmm, No. 139
# Calculated formation energy ... 0.094 eV per atom
# Total DFT energy (no corrections) ... -12.236 eV/atom